Record 1
Density functional theory data (GGA-PBE) for a geometry-optimized Li7In4Ga structure.

abc: 4.975 8.066 7.162
angles: 64.49 69.68 72.04
Fractional positions:
Li1 0.791 0.882 0.536
Li2 0.209 0.118 0.464
Li3 0.078 0.567 0.276
Li4 0.922 0.433 0.724
Li5 0.215 0.763 0.808
Li6 0.500 0.000 0.000
Li7 0.785 0.237 0.192
In1 0.572 0.286 0.571
In2 0.428 0.714 0.429
In3 0.675 0.636 0.015
In4 0.325 0.364 0.985
Ga1 0.000 0.000 0.000

As for the space group: C2/m (12).

***

Record 2
Density functional theory data (GGA-PBE) for a geometry-optimized BaSc2Hg structure.

abc: 5.043 3.693 6.679
angles: 75.74 90.00 90.00
Fractional positions:
Ba1 0.500 0.250 0.250
Hg1 0.500 0.750 0.750
Sc1 0.000 0.916 0.948
Sc2 0.000 0.584 0.552

As for the space group: P2/m (10).

***

Record 3
Density functional theory data (GGA-PBE) for a geometry-optimized TmHgGeAu structure.

abc: 4.941 4.941 4.941
angles: 60.00 60.00 60.00
Fractional positions:
Ge1 0.750 0.750 0.750
Tm1 0.250 0.250 0.250
Au1 0.000 0.000 0.000
Hg1 0.500 0.500 0.500

As for the space group: F-43m (216).

***

Number 1: N(E_F) 0.33 states/eV/atom, raw total energy -2.445 eV per atom, E_form -0.164 eV/atom. Number 2: N(E_F) 1.09 states/eV/atom, raw total energy -3.645 eV per atom, E_form 0.076 eV/atom. Number 3: N(E_F) 0.39 states/eV/atom, raw total energy -3.534 eV per atom, E_form -0.367 eV/atom.